First-principles (PBE) data for a relaxed structure of Dy4TmTl7, as listed in Alexandria via LeMat-Bulk.

The calculation puts the total energy at -3.39 eV per atom. Its calculated volume is 722 Å³/cell. The value obtained for the formation energy is -103 meV/atom.

The space group is C2/m (No. 12) and the conventional cell measures 13.5706, 5.6249 and 11.3348 Å, with angles of 90.00, 123.44 and 90.00 degrees. The asymmetric unit holds Dy at (0.0844, 0.0000, 0.2832), Dy at (0.2194, 0.0000, 0.8265), Tm at (0.0000, 0.5000, 0.5000), Tl at (0.0000, 0.0000, 0.5000), Tl at (0.0824, 0.5000, 0.8249), Tl at (0.1329, 0.0000, 0.0433) and Tl at (0.2138, 0.5000, 0.3968).


First-principles (PBE) data for a relaxed structure of AcSnRh, as listed in Alexandria via LeMat-Bulk.

The calculation puts the total energy at -5.64 eV per atom. Its calculated volume is 149 Å³/cell. The energy relative to the lowest polymorph listed for this composition is 293.1 meV per atom. The value obtained for the formation energy is -490 meV/atom.

The space group is I4mm (No. 107) and the conventional cell measures 3.5216, 3.5216 and 12.0041 Å, with angles of 90.00, 90.00 and 90.00 degrees. The asymmetric unit holds Ac at (0.0000, 0.0000, 0.0000), Sn at (0.0000, 0.0000, 0.2851) and Rh at (0.0000, 0.0000, 0.6736).


First-principles (PBE) data for a relaxed structure of ZnCuAsSe2, as listed in Alexandria via LeMat-Bulk.

The calculation puts the total energy at -2.61 eV per atom. Its calculated volume is 117 Å³/cell. As for the uncorrected formation energy: 76 kJ per mole of atoms. The energy relative to the lowest polymorph listed for this composition is 238.0 meV per atom.

The space group is P4/mmm (No. 123) and the conventional cell measures 4.9888, 4.9888 and 4.6926 Å, with angles of 90.00, 90.00 and 90.00 degrees. The asymmetric unit holds Zn at (0.0000, 0.0000, 0.0000), Cu at (0.5000, 0.5000, 0.5000), As at (0.0000, 0.0000, 0.5000) and Se at (0.0000, 0.5000, 0.0000).


First-principles (PBE) data for a relaxed structure of BiOs2Br, as listed in Alexandria via LeMat-Bulk.

The calculation puts the total energy at -5.51 eV per atom. Its calculated volume is 294 Å³/cell. As for the uncorrected formation energy: 144 kJ per mole of atoms. The energy relative to the lowest polymorph listed for this composition is 262.9 meV per atom.

The space group is Fm-3m (No. 225) and the conventional cell measures 6.6494, 6.6494 and 6.6494 Å, with angles of 90.00, 90.00 and 90.00 degrees. The asymmetric unit holds Bi at (0.0000, 0.0000, 0.0000), Os at (0.2500, 0.2500, 0.2500) and Br at (0.0000, 0.0000, 0.5000).